No. 1
A plane-wave DFT calculation with PBE was carried out for a relaxed ZrZn8Au2 crystal.

The formation energy is -0.15 eV/atom.

abc: 4.492 7.024 7.030
angles: 63.13 71.52 71.55
Space group P-1 (No. 2)
Symmetry-distinct sites (fractional):
Zr  0.000  0.000  0.000
Zn  0.133  0.187  0.544
Zn  0.135  0.543  0.186
Zn  0.280  0.720  0.719
Zn  0.341  0.159  0.161
Au  0.499  0.290  0.711



No. 2
A plane-wave DFT calculation with PBE was carried out for a relaxed MgWAu crystal.

The formation energy is 0.47 eV/atom. The value obtained for the energy above the most stable polymorph in this dataset is 286.4 meV per atom.

abc: 4.7204 4.7204 2.7412
angles: 90.00 90.00 120.00
Space group P-6m2 (No. 187)
Symmetry-distinct sites (fractional):
Mg  0.0000  0.0000  0.0000
W  0.6667  0.3333  0.5000
Au  0.3333  0.6667  0.5000



No. 3
A plane-wave DFT calculation with PBE was carried out for a relaxed Tm6In5Sn crystal.

The formation energy is -0.35 eV/atom. The value obtained for the energy above the most stable polymorph in this dataset is 92.8 meV per atom.

abc: 6.341 10.755 9.863
angles: 90.00 101.28 90.00
Space group C2/m (No. 12)
Symmetry-distinct sites (fractional):
Tm  0.248  0.000  0.250
Tm  0.249  0.334  0.249
In  0.000  0.167  0.000
In  0.000  0.333  0.500
In  0.000  0.500  0.000
Sn  0.000  0.000  0.500



No. 4
A plane-wave DFT calculation with PBE was carried out for a relaxed ZrCuNi crystal.

The formation energy is -0.23 eV/atom. The value obtained for the energy above the most stable polymorph in this dataset is 59.7 meV per atom.

abc: 4.1728 4.1728 3.0380
angles: 90.00 90.00 120.00
Space group P-6m2 (No. 187)
Symmetry-distinct sites (fractional):
Zr  0.0000  0.0000  0.0000
Cu  0.3333  0.6667  0.5000
Ni  0.6667  0.3333  0.5000



No. 5
A plane-wave DFT calculation with PBE was carried out for a relaxed Cs6PaBr12 crystal.

The raw formation energy is -1.52 eV per atom.

abc: 14.1637 14.1637 19.0426
angles: 90.00 90.00 120.00
Space group R-3 (No. 148, hexagonal axes)
Symmetry-distinct sites (fractional):
Cs  0.0115  0.2705  0.2470
Pa  0.0000  0.0000  0.5000
Br  0.0092  0.2537  0.7518
Br  0.0797  0.8971  0.5806



No. 6
A plane-wave DFT calculation with PBE was carried out for a relaxed Na5ZnSO2 crystal.

The raw formation energy is -1.09 eV per atom.

abc: 4.604 4.604 8.441
angles: 90.00 90.00 90.00
Space group P4/mmm (No. 123)
Symmetry-distinct sites (fractional):
Na  0.000  0.000  0.000
Na  0.000  0.500  0.235
Zn  0.000  0.000  0.500
S  0.500  0.500  0.000
O  0.000  0.000  0.281



We obtain DOS(E_F) values of 0.3521 0.9830 0.4930 0.9390 2.1128 0.2335 states/eV per atom for the records listed above, in that order.